Density functional theory data (PBE) for a relaxed MoPSe crystal.

Cell: 6.3942 6.2702 6.2052 Å, 121.26 90.00 90.00°
Element x y z (fractional)
Se: 0.6021 0.1642 0.3159
Se: 0.8979 0.1642 0.8159
Mo: 0.9967 0.2603 0.2532
Mo: 0.5033 0.2603 0.7532
Mo: 0.4967 0.7397 0.2468
Mo: 0.0033 0.7397 0.7468
Se: 0.1021 0.8358 0.1841
P: 0.8374 0.6497 0.3545
P: 0.6626 0.6497 0.8545
P: 0.3374 0.3503 0.1455
P: 0.1626 0.3503 0.6455
Se: 0.3979 0.8358 0.6841

## Properties
total moment	0.00	Bohr magnetons per cell
ΔE_f (raw)	-0.278	eV/atom
energy relative to the lowest polymorph listed for this composition	0	meV per atom



Density functional theory data (PBE) for a relaxed TlZnPt crystal.

Cell: 5.4155 5.4155 5.4155 Å, 142.84 142.93 53.50°
Element x y z (fractional)
Tl: 0.6639 0.6639 0.0000
Pt: 0.9660 0.9660 0.0000
Zn: 0.3701 0.3701 0.0000

## Properties
total moment	0.00	Bohr magnetons per cell
formation energy from the elements	-0.104	eV/atom
energy relative to the lowest polymorph listed for this composition	28	meV per atom



Density functional theory data (PBE) for a relaxed NdHo2Th3P6 crystal.

Cell: 7.1128 7.1128 7.0631 Å, 99.68 99.68 119.92°
Element x y z (fractional)
Ho: 0.6672 0.3328 0.0000
P: 0.9179 0.5784 0.7538
P: 0.7418 0.7418 0.2447
P: 0.2582 0.2582 0.7553
Th: 0.8345 0.1655 0.5000
P: 0.0821 0.4216 0.2462
Th: 0.1655 0.8345 0.5000
Nd: 0.0000 0.0000 0.0000
P: 0.5784 0.9179 0.7538
Ho: 0.3328 0.6672 0.0000
P: 0.4216 0.0821 0.2462
Th: 0.5000 0.5000 0.5000

## Properties
total moment	0.00	Bohr magnetons per cell
formation energy from the elements	-1.573	eV/atom



Density functional theory data (PBE) for a relaxed PmPuZnCu crystal.

Cell: 5.0581 5.0581 5.0581 Å, 60.00 60.00 60.00°
Each line ends with the local moment (μB).
Element x y z (fractional)
Pu: 0.0000 0.0000 0.0000  5.38
Pm: 0.5000 0.5000 0.5000  0.16
Zn: 0.7500 0.7500 0.7500  0.03
Cu: 0.2500 0.2500 0.2500  0.04

## Properties
total moment	6.04	Bohr magnetons per cell
formation energy from the elements	-0.045	eV/atom



Density functional theory data (PBE) for a relaxed NaPmSn2 crystal.

Cell: 3.4858 3.4858 11.6657 Å, 81.41 81.41 60.00°
Element x y z (fractional)
Sn: 0.0882 0.0882 0.7354
Na: 0.0000 0.0000 0.0000
Sn: 0.9118 0.9118 0.2646
Pm: 0.5000 0.5000 0.5000

## Properties
total moment	0.00	Bohr magnetons per cell
formation energy from the elements	-0.152	eV/atom



Density functional theory data (PBE) for a relaxed Ti2NbAlH crystal.

Cell: 4.2201 4.2201 3.8906 Å, 90.00 90.00 90.00°
Element x y z (fractional)
Al: 0.5000 0.5000 0.5000
Ti: 0.0000 0.5000 0.0000
Ti: 0.5000 0.0000 0.0000
H: 0.0000 0.0000 0.0000
Nb: 0.0000 0.0000 0.5000

## Properties
total moment	0.00	Bohr magnetons per cell
energy relative to the lowest polymorph listed for this composition	0	meV per atom



Density functional theory data (PBE) for a relaxed AgPbI3 crystal.

Cell: 5.7219 5.7219 5.7219 Å, 90.00 90.00 90.00°
Element x y z (fractional)
Pb: 0.5000 0.5000 0.5000
I: 0.5000 0.0000 0.0000
I: 0.0000 0.5000 0.0000
I: 0.0000 0.0000 0.5000
Ag: 0.0000 0.0000 0.0000

## Properties
total moment	0.00	Bohr magnetons per cell
ΔE_f (raw)	-0.056	eV/atom
energy relative to the lowest polymorph listed for this composition	417	meV per atom



Density functional theory data (PBE) for a relaxed Hf3Ni12Ge crystal.

Cell: 3.7000 3.7000 14.6896 Å, 90.00 90.00 90.00°
Element x y z (fractional)
Ni: 0.5000 0.5000 0.7559
Ni: 0.5000 0.5000 0.2441
Hf: 0.0000 0.0000 0.2439
Hf: 0.0000 0.0000 0.5000
Ge: 0.0000 0.0000 0.0000
Ni: 0.5000 0.0000 0.1166
Ni: 0.0000 0.5000 0.6276
Ni: 0.5000 0.0000 0.8834
Ni: 0.5000 0.5000 0.5000
Ni: 0.5000 0.5000 0.0000
Ni: 0.5000 0.0000 0.3724
Ni: 0.0000 0.5000 0.1166
Ni: 0.5000 0.0000 0.6276
Ni: 0.0000 0.5000 0.3724
Ni: 0.0000 0.5000 0.8834
Hf: 0.0000 0.0000 0.7561

## Properties
total moment	0.00	Bohr magnetons per cell
formation energy from the elements	-0.460	eV/atom



| no. | D(E_F) (states/eV per cell) |
| --- | --- |
| 1 | 7.0 |
| 2 | 0.5 |
| 3 | 4.8 |
| 4 | 10.7 |
| 5 | 4.0 |
| 6 | 5.2 |
| 7 | 4.2 |
| 8 | 2.6 |